No. 1
The following is a DFT calculation (meta-GGA SCAN) of a crystal of BeIrCl relaxed with PBEsol.

Values from the calculation:
* total DFT energy (no corrections): -27.06 eV per atom
* uncorrected formation energy: 746 meV/atom
* space group: F-43m, No. 216
* polymorph energy (0 for the lowest one): 0.512 eV per atom

Structure (POSCAR):
```
BeIrCl
1.0
3.9686 0.0000 0.0000
1.9843 3.4369 0.0000
1.9843 1.1456 3.2404
Ir Be Cl
1 1 1
Direct
0.2500 0.2500 0.2500
0.0000 0.0000 0.0000
0.5000 0.5000 0.5000
```

No. 2
The following is a DFT calculation (meta-GGA SCAN) of a crystal of ZrBeIrCl2 relaxed with PBEsol.

Values from the calculation:
* total DFT energy (no corrections): -24.14 eV per atom
* uncorrected formation energy: 281 meV/atom
* space group: P4/mmm, No. 123

Structure (POSCAR):
```
ZrBeIrCl2
1.0
-2.8023 -0.9779 3.7905
3.8315 -1.6411 2.4092
0.8400 4.6243 1.8141
Ir Zr Cl Be
1 1 2 1
Direct
0.0000 0.0000 0.5000
0.0000 0.0000 0.0000
0.0000 0.5000 0.0000
0.5000 0.0000 0.0000
0.5000 0.5000 0.5000
```

No. 3
The following is a DFT calculation (meta-GGA SCAN) of a crystal of K2BeCl relaxed with PBEsol.

Values from the calculation:
* total DFT energy (no corrections): -7.46 eV per atom
* uncorrected formation energy: -213 meV/atom
* space group: Fm-3m, No. 225
* polymorph energy (0 for the lowest one): 0.175 eV per atom

Structure (POSCAR):
```
K2BeCl
1.0
5.5946 0.0000 0.0000
2.7973 4.8451 0.0000
2.7973 1.6150 4.5680
K Cl Be
2 1 1
Direct
0.2500 0.2500 0.2500
0.7500 0.7500 0.7500
0.5000 0.5000 0.5000
0.0000 0.0000 0.0000
```

No. 4
The following is a DFT calculation (meta-GGA SCAN) of a crystal of KBe2Cl relaxed with PBEsol.

Values from the calculation:
* total DFT energy (no corrections): -5.99 eV per atom
* uncorrected formation energy: 260 meV/atom
* space group: Pmmm, No. 47

Structure (POSCAR):
```
KBe2Cl
1.0
3.0240 0.0000 0.0000
0.0000 4.4766 0.0000
0.0000 0.0000 6.4068
Cl K Be
1 1 2
Direct
0.5000 0.0000 0.5000
0.0000 0.5000 0.5000
0.0000 0.0000 0.0000
0.5000 0.5000 0.0000
```

No. 5
The following is a DFT calculation (meta-GGA SCAN) of a crystal of KBe4Cl relaxed with PBEsol.

Values from the calculation:
* total DFT energy (no corrections): -4.70 eV per atom
* uncorrected formation energy: 921 meV/atom
* space group: F-43m, No. 216

Structure (POSCAR):
```
KBe4Cl
1.0
-2.8689 3.4617 2.4555
-3.0899 -1.4736 3.8111
1.1077 1.2786 4.8355
Be Cl K
4 1 1
Direct
0.9000 0.3667 0.3667
0.3667 0.3667 0.3667
0.3667 0.9000 0.3667
0.3667 0.3667 0.9000
0.7500 0.7500 0.7500
0.0000 0.0000 0.0000
```

No. 6
The following is a DFT calculation (meta-GGA SCAN) of a crystal of K2BeCl relaxed with PBEsol.

Values from the calculation:
* total DFT energy (no corrections): -7.63 eV per atom
* uncorrected formation energy: -387 meV/atom
* space group: Imm2, No. 44
* polymorph energy (0 for the lowest one): 0.000 eV per atom

Structure (POSCAR):
```
K2BeCl
1.0
-0.3145 -1.8418 -3.2191
3.5645 -1.6933 0.6206
-5.5560 -4.9567 5.5307
K Be Cl
2 1 1
Direct
0.9349 0.9349 0.8698
0.7155 0.2155 0.4310
0.5529 0.5529 0.1058
0.2967 0.7967 0.5934
```